Arrangement i

Computed, not measured: crystalline DyTm2Cu at its relaxed geometry at the GGA-PBE level of DFT.

## Properties
Volume   25.99 A^3/atom
Total magnetization   0.00 μB per formula unit

Structure (POSCAR):
```
DyTm2Cu
1.0
6.750 0.000 0.000
0.000 9.588 0.000
0.000 0.000 6.424
Dy Tm Cu
4 8 4
Direct
0.015 0.250 0.129 Dy
0.485 0.750 0.629 Dy
0.515 0.250 0.371 Dy
0.985 0.750 0.871 Dy
0.189 0.059 0.687 Tm
0.189 0.441 0.687 Tm
0.311 0.559 0.187 Tm
0.311 0.941 0.187 Tm
0.689 0.059 0.813 Tm
0.689 0.441 0.813 Tm
0.811 0.559 0.313 Tm
0.811 0.941 0.313 Tm
0.095 0.750 0.448 Cu
0.405 0.250 0.948 Cu
0.595 0.750 0.052 Cu
0.905 0.250 0.552 Cu
```

=====

Arrangement ii

Computed, not measured: crystalline DyTm2Cu at its relaxed geometry at the GGA-PBE level of DFT.

## Properties
Volume   25.51 A^3/atom
Total magnetization   0.00 μB per formula unit

Structure (POSCAR):
```
DyTm2Cu
1.0
3.439 0.000 0.000
0.000 3.439 0.000
0.000 0.000 8.628
Dy Tm Cu
1 2 1
Direct
0.000 0.000 0.000 Dy
0.500 0.500 0.303 Tm
0.500 0.500 0.697 Tm
0.000 0.000 0.500 Cu
```

=====

Arrangement iii

Computed, not measured: crystalline DyTm2Cu at its relaxed geometry at the GGA-PBE level of DFT.

## Properties
Volume   25.98 A^3/atom
Total magnetization   0.00 μB per formula unit

Structure (POSCAR):
```
DyTm2Cu
1.0
2.423 -5.721 0.000
2.423 5.721 0.000
0.000 0.000 7.497
Dy Tm Cu
2 4 2
Direct
0.045 0.955 0.750 Dy
0.955 0.045 0.250 Dy
0.351 0.649 0.534 Tm
0.351 0.649 0.966 Tm
0.649 0.351 0.034 Tm
0.649 0.351 0.466 Tm
0.203 0.797 0.250 Cu
0.797 0.203 0.750 Cu
```

=====

Stability summary: most stable arrangement i, least stable arrangement iii.

=====

Arrangement i

Computed, not measured: crystalline Dy3TmCu2 at its relaxed geometry at the GGA-PBE level of DFT.

## Properties
Volume   24.19 A^3/atom
Total magnetization   0.00 μB per formula unit

Structure (POSCAR):
```
Dy3TmCu2
1.0
4.894 0.000 0.000
0.000 8.680 0.000
0.000 0.000 6.835
Dy Tm Cu
6 2 4
Direct
0.000 0.076 0.000 Dy
0.000 0.336 0.368 Dy
0.000 0.664 0.868 Dy
0.000 0.924 0.500 Dy
0.500 0.166 0.658 Dy
0.500 0.834 0.158 Dy
0.500 0.426 0.027 Tm
0.500 0.574 0.527 Tm
0.000 0.349 0.775 Cu
0.000 0.651 0.275 Cu
0.500 0.154 0.251 Cu
0.500 0.846 0.751 Cu
```

=====

Arrangement ii

Computed, not measured: crystalline Dy3TmCu2 at its relaxed geometry at the GGA-PBE level of DFT.

## Properties
Volume   26.87 A^3/atom
Total magnetization   0.00 μB per formula unit

Structure (POSCAR):
```
Dy3TmCu2
1.0
-3.375 6.689 3.570
3.375 -6.689 3.570
3.375 6.689 -3.570
Dy Tm Cu
6 2 4
Direct
0.017 0.750 0.267 Dy
0.250 0.250 0.000 Dy
0.483 0.750 0.733 Dy
0.517 0.250 0.267 Dy
0.750 0.750 0.000 Dy
0.983 0.250 0.733 Dy
0.000 0.500 0.500 Tm
0.500 0.000 0.500 Tm
0.141 0.208 0.349 Cu
0.359 0.708 0.068 Cu
0.641 0.292 0.932 Cu
0.859 0.792 0.651 Cu
```

=====

Stability summary: most stable arrangement i, least stable arrangement ii.